one:
Computed, not measured: a relaxed structure of Pa2SnP at the PBE level of DFT.

Properties
spin magnetization	0.00	μB per formula unit

```
4
Lattice="-0.486 1.119 3.158 2.503 -2.000 1.094 5.204 5.821 -1.261" Properties=species:S:1:pos:R:3 pbc="T T T"
P 1.008 -0.441 2.126
Pa 4.111 4.598 -0.996
Pa 1.093 1.223 -0.265
Sn 3.610 2.470 1.495
```

two:
Computed, not measured: a relaxed structure of Pa2SnP at the PBE level of DFT.

Properties
spin magnetization	0.00	μB per formula unit

```
4
Lattice="4.100 0.000 0.000 2.050 3.551 0.000 2.050 1.184 7.055" Properties=species:S:1:pos:R:3 pbc="T T T"
P 4.100 2.367 3.527
Pa 6.150 3.551 5.036
Pa 2.050 1.184 2.019
Sn 0.000 0.000 0.000
```

Name the most stable of them. two.

one:
Computed, not measured: a relaxed structure of SrPaP2 at the PBE level of DFT.

Properties
spin magnetization	0.74	μB per formula unit

```
4
Lattice="4.096 0.000 0.000 2.048 3.547 0.000 2.048 1.182 7.162" Properties=species:S:1:pos:R:3 pbc="T T T"
Sr 4.096 2.365 3.677
Pa 6.144 3.547 7.107
P 2.048 1.182 5.612
P 2.048 1.182 1.509
```

two:
Computed, not measured: a relaxed structure of SrPaP2 at the PBE level of DFT.

Properties
spin magnetization	0.00	μB per formula unit

```
4
Lattice="-0.572 -0.624 4.038 -1.848 -3.447 1.313 5.326 -4.499 2.166" Properties=species:S:1:pos:R:3 pbc="T T T"
Sr 1.453 -4.285 3.758
Pa 0.000 0.000 0.000
P 2.397 -6.539 5.651
P 0.509 -2.031 1.866
```

Name the most stable of them. two.

one:
Computed, not measured: a relaxed structure of PaTaP at the PBE level of DFT.

Properties
spin magnetization	0.00	μB per formula unit

```
3
Lattice="-1.184 -2.836 -2.037 -0.115 -2.500 3.548 -3.502 2.291 -1.155" Properties=species:S:1:pos:R:3 pbc="T T T"
P -0.197 -0.473 -0.340
Pa -2.033 -2.793 0.622
Ta -2.570 0.222 0.073
```

two:
Computed, not measured: a relaxed structure of PaTaP at the PBE level of DFT.

Properties
spin magnetization	0.39	μB per formula unit

```
3
Lattice="3.261 0.000 0.000 0.000 3.261 0.000 -1.630 -1.630 5.395" Properties=species:S:1:pos:R:3 pbc="T T T"
P 0.000 0.000 3.309
Pa 1.630 1.630 5.319
Ta 1.630 1.630 2.161
```

Name the most stable of them. two.

one:
Computed, not measured: a relaxed structure of Pa2TcP at the PBE level of DFT.

Properties
spin magnetization	0.00	μB per formula unit

```
4
Lattice="-2.741 -2.189 2.087 3.117 -1.343 2.686 -0.754 3.397 2.573" Properties=species:S:1:pos:R:3 pbc="T T T"
P -0.189 -0.067 3.673
Pa -0.377 1.699 1.287
Pa 1.559 -0.671 1.343
Tc -1.371 -1.095 1.043
```

two:
Computed, not measured: a relaxed structure of Pa2TcP at the PBE level of DFT.

Properties
spin magnetization	0.00	μB per formula unit

```
4
Lattice="3.608 0.000 0.000 0.000 3.608 0.000 0.000 0.000 6.040" Properties=species:S:1:pos:R:3 pbc="T T T"
P 1.804 1.804 3.020
Pa 0.000 0.000 4.466
Pa 0.000 0.000 1.574
Tc 1.804 1.804 0.000
```

three:
Computed, not measured: a relaxed structure of Pa2TcP at the PBE level of DFT.

Properties
spin magnetization	0.00	μB per formula unit

```
4
Lattice="3.893 0.000 0.000 1.946 3.371 0.000 1.946 1.124 6.822" Properties=species:S:1:pos:R:3 pbc="T T T"
P 3.893 2.247 3.411
Pa 5.839 3.371 5.194
Pa 1.946 1.124 1.629
Tc 0.000 0.000 0.000
```

Name the most stable of them. three.

one:
Computed, not measured: a relaxed structure of PaTc2P at the PBE level of DFT.

Properties
spin magnetization	0.00	μB per formula unit

```
4
Lattice="-2.805 -2.301 -0.734 2.505 -2.240 -2.547 1.139 -2.426 3.255" Properties=species:S:1:pos:R:3 pbc="T T T"
P 0.419 -3.484 -0.013
Pa -1.402 -1.151 -0.367
Tc 0.569 -1.213 1.627
Tc 1.252 -1.120 -1.273
```

two:
Computed, not measured: a relaxed structure of PaTc2P at the PBE level of DFT.

Properties
spin magnetization	0.00	μB per formula unit

```
4
Lattice="-3.476 -2.432 0.720 -2.357 -1.417 -3.309 0.435 -4.746 -1.075" Properties=species:S:1:pos:R:3 pbc="T T T"
P -2.699 -4.298 -1.832
Pa 0.000 0.000 0.000
Tc -4.163 -6.281 -2.738
Tc -1.236 -2.315 -0.926
```

three:
Computed, not measured: a relaxed structure of PaTc2P at the PBE level of DFT.

Properties
spin magnetization	0.00	μB per formula unit

```
8
Lattice="3.870 0.000 0.000 0.000 3.945 0.000 -1.935 0.000 9.255" Properties=species:S:1:pos:R:3 pbc="T T T"
Pa 0.000 0.986 7.438
Pa 1.935 2.959 1.817
Tc 1.935 0.986 4.642
Tc 0.000 2.959 4.613
Tc 0.000 0.986 0.870
Tc 1.935 2.959 8.384
P 0.000 0.986 3.260
P 1.935 2.959 5.995
```

Name the most stable of them. three.

one:
Computed, not measured: a relaxed structure of PaTc3P at the PBE level of DFT.

Properties
spin magnetization	0.00	μB per formula unit

```
5
Lattice="-2.593 1.903 3.063 -3.220 -2.920 -0.911 1.624 -2.753 3.084" Properties=species:S:1:pos:R:3 pbc="T T T"
P 0.000 0.000 0.000
Pa -2.094 -1.885 2.618
Tc -1.610 -1.460 -0.456
Tc 0.812 -1.376 1.542
Tc -1.296 0.951 1.532
```

two:
Computed, not measured: a relaxed structure of PaTc3P at the PBE level of DFT.

Properties
spin magnetization	0.00	μB per formula unit

```
20
Lattice="-3.789 -0.483 0.267 0.006 -4.244 -7.574 1.419 -8.497 4.763" Properties=species:S:1:pos:R:3 pbc="T T T"
Pa -1.430 -12.315 -1.377
Pa -0.246 -7.133 -2.656
Pa -2.118 -6.092 0.112
Pa -0.934 -0.909 -1.167
Tc -0.809 -3.290 -3.699
Tc -1.555 -9.934 1.154
Tc -0.372 -3.804 1.566
Tc -1.992 -9.420 -4.110
Tc 0.059 -7.779 0.505
Tc -2.546 -2.607 0.336
Tc 0.182 -10.617 -2.880
Tc -1.846 -9.116 -1.495
Tc -0.518 -4.109 -1.049
Tc -1.704 -7.862 2.779
Tc -2.423 -5.446 -3.050
Tc -0.660 -5.362 -5.324
P -0.031 -6.076 2.297
P 0.269 -9.978 -0.492
P -2.633 -3.246 -2.052
P -2.333 -7.148 -4.842
```

Name the most stable of them. two.